LiTcCl | PBE | relaxed

Structure (CIF):
```
data_LiTcCl
_symmetry_space_group_name_H-M 'P 1'
_symmetry_Int_Tables_number 1
_symmetry_space_group_name_Hall 'P 1'
_cell_length_a 6.048
_cell_length_b 6.048
_cell_length_c 6.048
_cell_angle_alpha 153.00
_cell_angle_beta 153.00
_cell_angle_gamma 38.55
loop_
_atom_site_label
_atom_site_type_symbol
_atom_site_fract_x
_atom_site_fract_y
_atom_site_fract_z
Li1 Li 0.000 0.000 0.000
Tc1 Tc 0.686 0.686 0.000
Cl1 Cl 0.351 0.351 0.000
```

Computed properties:
Energy relative to the elements, uncorrected: 289 meV per atom
E: -4.4198 eV per atom
Energy relative to the lowest polymorph listed for this composition: 176 meV per atom

LiTcCl2 | PBE | relaxed

Structure (CIF):
```
data_LiTcCl2
_symmetry_space_group_name_H-M 'P 1'
_symmetry_Int_Tables_number 1
_symmetry_space_group_name_Hall 'P 1'
_cell_length_a 4.474
_cell_length_b 4.474
_cell_length_c 4.474
_cell_angle_alpha 60.00
_cell_angle_beta 60.00
_cell_angle_gamma 60.00
loop_
_atom_site_label
_atom_site_type_symbol
_atom_site_fract_x
_atom_site_fract_y
_atom_site_fract_z
Li1 Li 0.000 0.000 0.000
Tc1 Tc 0.500 0.500 0.500
Cl1 Cl 0.250 0.250 0.250
Cl2 Cl 0.750 0.750 0.750
```

Computed properties:
Energy relative to the elements, uncorrected: -40 meV per atom
E: -4.0336 eV per atom
Energy relative to the lowest polymorph listed for this composition: 425 meV per atom